PmAg2RuO6 | PBE | relaxed

Cell lengths 5.6990, 5.7041, 9.9510 Å; angles 90.00, 124.11, 90.00 degrees
With the nearest neighbours (Å) after each atom.
Space group P2_1/c (No. 14)
Inequivalent atoms, fractional coordinates:
Pm (0.0000, 0.0000, 0.0000) (multiplicity 2)  6 O 2.33-2.38
Ag (0.2438, 0.0214, 0.7488) (multiplicity 4)  4 O 2.26-2.48
Ru (0.5000, 0.0000, 0.5000) (multiplicity 2)  6 O 1.92-1.94
O (0.1883, 0.0541, 0.2759) (multiplicity 4)  1 Ru 1.94
O (0.2459, 0.6522, 0.0412) (multiplicity 4)  1 Ru 1.92
O (0.4076, 0.2065, 0.0531) (multiplicity 4)  1 Ru 1.92

***

Pm2AgSO8 | PBE | relaxed

Cell lengths 5.0177, 5.0177, 7.1641 Å; angles 90.00, 90.00, 120.00 degrees
With the nearest neighbours (Å) after each atom.
Space group P-3m1 (No. 164)
Inequivalent atoms, fractional coordinates:
Pm (0.3333, 0.6667, 0.3298) (multiplicity 2)  7 O 2.29-2.52
Ag (0.0000, 0.0000, 0.0000) (multiplicity 1)  12 O 2.90-2.95
S (0.0000, 0.0000, 0.5000) (multiplicity 1)  6 O 1.66
O (0.1558, 0.3117, 0.6335) (multiplicity 6)  1 S 1.66
O (0.3333, 0.6667, 0.0102) (multiplicity 2)  1 Pm 2.29

***

PmAg2SO8 | PBE | relaxed

Cell lengths 5.1068, 5.1068, 6.3533 Å; angles 90.00, 90.00, 120.00 degrees
With the nearest neighbours (Å) after each atom.
Space group P-3m1 (No. 164)
Inequivalent atoms, fractional coordinates:
Pm (0.0000, 0.0000, 0.0000) (multiplicity 1)  6 O 2.55
Ag (0.3333, 0.6667, 0.3563) (multiplicity 2)  1 O 2.04
S (0.0000, 0.0000, 0.5000) (multiplicity 1)  6 O 1.66
O (0.1501, 0.3002, 0.6568) (multiplicity 6)  1 S 1.66
O (0.3333, 0.6667, 0.0346) (multiplicity 2)  1 Ag 2.04

***

PmAgS2O6 | PBE | relaxed

Cell lengths 8.8691, 9.9766, 8.1857 Å; angles 90.00, 122.68, 90.00 degrees
With the nearest neighbours (Å) after each atom.
Space group C2/c (No. 15)
Inequivalent atoms, fractional coordinates:
Pm (0.0000, 0.0340, 0.2500) (multiplicity 4)  8 O 2.42-2.49
Ag (0.0000, 0.3811, 0.7500) (multiplicity 4)  2 O 2.31
S (0.1898, 0.3581, 0.2338) (multiplicity 8)  3 O 1.52-1.56
O (0.1286, 0.0905, 0.5884) (multiplicity 8)  1 S 1.56
O (0.1972, 0.2068, 0.2615) (multiplicity 8)  1 S 1.52
O (0.2297, 0.3880, 0.0731) (multiplicity 8)  1 S 1.56

***

PmAgSO5 | PBE | relaxed

Cell lengths 8.1992, 8.9870, 8.3469 Å; angles 90.00, 118.32, 90.00 degrees
With the nearest neighbours (Å) after each atom.
Space group C2/c (No. 15)
Inequivalent atoms, fractional coordinates:
Pm (0.2500, 0.2500, 0.0000) (multiplicity 4)  6 O 2.25-2.44
Ag (0.0000, 0.0670, 0.2500) (multiplicity 4)  1 O 2.09
S (0.0000, 0.4081, 0.2500) (multiplicity 4)  4 O 1.48-1.50
O (0.0000, 0.1656, 0.7500) (multiplicity 4)  1 Ag 2.09, 2 Pm 2.25
O (0.0553, 0.3070, 0.1410) (multiplicity 8)  1 S 1.50
O (0.1592, 0.4982, 0.8730) (multiplicity 8)  1 S 1.48

***

Pm2AgS2O2 | PBE | relaxed

Cell lengths 3.9328, 3.9328, 11.4056 Å; angles 90.00, 90.00, 120.00 degrees
With the nearest neighbours (Å) after each atom.
Space group P-3m1 (No. 164)
Inequivalent atoms, fractional coordinates:
Pm (0.3333, 0.6667, 0.1317) (multiplicity 2)  4 O 2.35-2.39
Ag (0.0000, 0.0000, 0.5000) (multiplicity 1)  2 S 2.32
S (0.0000, 0.0000, 0.2968) (multiplicity 2)  1 Ag 2.32
O (0.3333, 0.6667, 0.9225) (multiplicity 2)  4 Pm 2.35-2.39

***

PmAgSeO5 | PBE | relaxed

Cell lengths 8.4817, 9.2280, 8.5449 Å; angles 90.00, 119.32, 90.00 degrees
With the nearest neighbours (Å) after each atom.
Space group C2/c (No. 15)
Inequivalent atoms, fractional coordinates:
Pm (0.0000, 0.0000, 0.0000) (multiplicity 4)  6 O 2.25-2.44
Ag (0.0000, 0.3066, 0.2500) (multiplicity 4)  1 O 2.11
Se (0.0000, 0.3500, 0.7500) (multiplicity 4)  4 O 1.67-1.68
O (0.0000, 0.0782, 0.2500) (multiplicity 4)  1 Ag 2.11, 2 Pm 2.25
O (0.0309, 0.2487, 0.6053) (multiplicity 8)  1 Se 1.67
O (0.1739, 0.4646, 0.8621) (multiplicity 8)  1 Se 1.68

***

PmAg2SeO4 | PBE | relaxed

Cell lengths 6.0520, 6.0520, 6.3893 Å; angles 90.00, 90.00, 90.00 degrees
With the nearest neighbours (Å) after each atom.
Space group I-4 (No. 82)
Inequivalent atoms, fractional coordinates:
Pm (0.0000, 0.0000, 0.0000) (multiplicity 2)  4 O 2.33
Ag (0.0000, 0.0000, 0.5000) (multiplicity 2)  4 O 2.41
Ag (0.0000, 0.5000, 0.2500) (multiplicity 2)  4 O 2.32
Se (0.0000, 0.5000, 0.7500) (multiplicity 2)  4 O 2.04
O (0.1877, 0.7791, 0.7597) (multiplicity 8)  1 Se 2.04

***

Pm2AgSe2O2 | PBE | relaxed

Cell lengths 3.9343, 3.9343, 12.0397 Å; angles 90.00, 90.00, 120.00 degrees
With the nearest neighbours (Å) after each atom.
Space group P-3m1 (No. 164)
Inequivalent atoms, fractional coordinates:
Pm (0.3333, 0.6667, 0.1249) (multiplicity 2)  4 O 2.35-2.40
Ag (0.0000, 0.0000, 0.5000) (multiplicity 1)  2 Se 2.46
Se (0.0000, 0.0000, 0.2959) (multiplicity 2)  1 Ag 2.46
O (0.3333, 0.6667, 0.9256) (multiplicity 2)  4 Pm 2.35-2.40

***

PmAgSe2O6 | PBE | relaxed

Cell lengths 5.4735, 5.4735, 18.6689 Å; angles 90.00, 90.00, 120.00 degrees
With the nearest neighbours (Å) after each atom.
Space group R-3 (No. 148, hexagonal axes)
Inequivalent atoms, fractional coordinates:
Pm (0.0000, 0.0000, 0.0000) (multiplicity 3)  6 O 2.38
Ag (0.0000, 0.0000, 0.5000) (multiplicity 3)  6 O 2.64
Se (0.0000, 0.0000, 0.2186) (multiplicity 6)  3 O 1.73
O (0.0143, 0.7200, 0.7424) (multiplicity 18)  1 Se 1.73

***

PmAgSeO6 | PBE | relaxed

Cell lengths 4.5766, 5.1477, 5.7096 Å; angles 64.78, 79.93, 80.57 degrees
With the nearest neighbours (Å) after each atom.
Space group P1 (No. 1)
Inequivalent atoms, fractional coordinates:
Pm (0.0000, 0.0000, 0.0000) (multiplicity 1)  6 O 2.32-2.55
Ag (0.3925, 0.2909, 0.4265) (multiplicity 1)  3 O 2.05-2.19
Se (0.8214, 0.7035, 0.6666) (multiplicity 1)  6 O 1.76-1.88
O (0.0067, 0.0384, 0.5798) (multiplicity 1)  1 Se 1.88
O (0.0385, 0.4894, 0.9281) (multiplicity 1)  1 Se 1.79
O (0.1086, 0.6480, 0.4103) (multiplicity 1)  1 Se 1.87, 1 Ag 2.05
O (0.5688, 0.8364, 0.8845) (multiplicity 1)  1 Se 1.82
O (0.6280, 0.9409, 0.3739) (multiplicity 1)  1 Se 1.87, 1 Ag 2.05
O (0.6471, 0.3998, 0.7189) (multiplicity 1)  1 Se 1.76

***

Pm2AgSeO3 | PBE | relaxed

Cell lengths 7.3808, 7.3808, 17.7560 Å; angles 90.00, 90.00, 120.00 degrees
With the nearest neighbours (Å) after each atom.
Space group R-3m (No. 166, hexagonal axes)
Inequivalent atoms, fractional coordinates:
Pm (0.0000, 0.0000, 0.0000) (multiplicity 3)  6 O 2.44
Pm (0.0000, 0.5000, 0.5000) (multiplicity 9)  4 O 2.33
Ag (0.0000, 0.0000, 0.4224) (multiplicity 6)  3 O 2.52, 1 Se 2.54, 1 Ag 2.76
Se (0.0000, 0.0000, 0.2796) (multiplicity 6)  1 Ag 2.54
O (0.0599, 0.5300, 0.7626) (multiplicity 18)  3 Pm 2.33-2.44, 1 Ag 2.52

***

Number 1: magnetic moment 0.0 μB per formula unit, mass density 6917 kg/m³, formation energy from raw total energies -1128 meV per atom. Number 2: magnetic moment 3.0 μB per formula unit, mass density 5931 kg/m³, formation energy from raw total energies -1416 meV per atom. Number 3: magnetic moment 4.7 μB per formula unit, mass density 6027 kg/m³, formation energy from raw total energies -595 meV per atom. Number 4: magnetic moment 0.0 μB per formula unit, mass density 4500 kg/m³, formation energy from raw total energies -1682 meV per atom. Number 5: magnetic moment 0.0 μB per formula unit, mass density 4477 kg/m³, formation energy from raw total energies -1796 meV per atom. Number 6: magnetic moment 0.0 μB per formula unit, mass density 5369 kg/m³, formation energy from raw total energies -2017 meV per atom. Number 7: magnetic moment 0.0 μB per formula unit, mass density 4691 kg/m³, formation energy from raw total energies -1407 meV per atom. Number 8: magnetic moment 0.0 μB per formula unit, mass density 7148 kg/m³, formation energy from raw total energies -1040 meV per atom. Number 9: magnetic moment 0.0 μB per formula unit, mass density 6048 kg/m³, formation energy from raw total energies -2001 meV per atom. Number 10: magnetic moment 0.0 μB per formula unit, mass density 5212 kg/m³, formation energy from raw total energies -1391 meV per atom. Number 11: magnetic moment 0.0 μB per formula unit, mass density 5960 kg/m³, formation energy from raw total energies -1011 meV per atom. Number 12: magnetic moment 0.0 μB per formula unit, mass density 6242 kg/m³, formation energy from raw total energies -1965 meV per atom.